A.
A relaxed Ac2NdBi crystal, computed with PBE.

Cell: 5.271 5.271 5.195 Å, 90.00 90.00 90.00°
Space group P4/mmm (No. 123)
One atom of each set of equivalent atoms:
Ac1 0.000 0.500 0.000
Nd1 0.000 0.000 0.500
Bi1 0.500 0.500 0.500

Computed properties:
Crystal system: tetragonal



B.
A relaxed Ac2NdBi crystal, computed with PBE.

Cell: 4.437 4.437 7.818 Å, 90.00 90.00 90.00°
Space group P4/mmm (No. 123)
One atom of each set of equivalent atoms:
Ac1 0.000 0.000 0.227
Nd1 0.500 0.500 0.500
Bi1 0.500 0.500 0.000

Computed properties:
Crystal system: tetragonal



Which is the most stable structure? A is the most stable.



A.
A relaxed AcNiBi3 crystal, computed with PBE.

Cell: 5.299 5.299 5.299 Å, 90.00 90.00 90.00°
Space group Pm-3m (No. 221)
One atom of each set of equivalent atoms:
Ac1 0.000 0.000 0.000
Ni1 0.500 0.500 0.500
Bi1 0.000 0.500 0.500

Computed properties:
Crystal system: cubic



B.
A relaxed AcNiBi3 crystal, computed with PBE.

Cell: 13.637 6.591 6.463 Å, 90.00 90.00 90.00°
Space group Pbcm (No. 57)
One atom of each set of equivalent atoms:
Ac1 0.200 0.006 0.250
Ni1 0.401 0.250 0.000
Bi1 0.000 0.250 0.000
Bi2 0.290 0.501 0.250
Bi3 0.456 0.595 0.750

Computed properties:
Crystal system: orthorhombic



Which is the most stable structure? B is the most stable.



A.
A relaxed AcNiBi2 crystal, computed with PBE.

Cell: 3.622 3.622 8.374 Å, 90.00 90.00 90.00°
Space group P4/mmm (No. 123)
One atom of each set of equivalent atoms:
Ac1 0.000 0.000 0.000
Ni1 0.000 0.000 0.500
Bi1 0.500 0.500 0.310

Computed properties:
Crystal system: tetragonal



B.
A relaxed AcNiBi2 crystal, computed with PBE.

Cell: 5.9350 5.9350 11.7829 Å, 90.00 90.00 120.00°
Space group R-3m (No. 166, hexagonal axes)
One atom of each set of equivalent atoms:
Ac1 0.0000 0.0000 0.0000
Ni1 0.0000 0.0000 0.5000
Bi1 0.0000 0.0000 0.2825

Computed properties:
Crystal system: trigonal



C.
A relaxed AcNiBi2 crystal, computed with PBE.

Cell: 4.838 4.838 4.830 Å, 90.00 90.00 90.00°
Space group P4/mmm (No. 123)
One atom of each set of equivalent atoms:
Ac1 0.000 0.000 0.000
Ni1 0.500 0.500 0.000
Bi1 0.000 0.500 0.500

Computed properties:
Crystal system: tetragonal



Which is the most stable structure? C is the most stable.



A.
A relaxed Ac2NpBi crystal, computed with PBE.

Cell: 3.6427 3.6427 38.7589 Å, 90.00 90.00 120.00°
Space group R-3m (No. 166, hexagonal axes)
One atom of each set of equivalent atoms:
Ac1 0.0000 0.0000 0.0907
Np1 0.0000 0.0000 0.0000
Bi1 0.0000 0.0000 0.5000

Computed properties:
Crystal system: trigonal



B.
A relaxed Ac2NpBi crystal, computed with PBE.

Cell: 5.387 5.387 4.777 Å, 90.00 90.00 90.00°
Space group P4/mmm (No. 123)
One atom of each set of equivalent atoms:
Ac1 0.000 0.500 0.000
Np1 0.000 0.000 0.500
Bi1 0.500 0.500 0.500

Computed properties:
Crystal system: tetragonal



Which is the most stable structure? B is the most stable.



A.
A relaxed Ac2BiO6 crystal, computed with PBE.

Cell: 6.033 6.559 9.731 Å, 90.00 120.68 90.00°
Space group P2_1/c (No. 14)
One atom of each set of equivalent atoms:
Ac1 0.202 0.080 0.242
Bi1 0.500 0.000 0.000
O1 0.157 0.157 0.948
O2 0.261 0.730 0.908
O3 0.433 0.084 0.773

Computed properties:
Crystal system: monoclinic



B.
A relaxed Ac2BiO6 crystal, computed with PBE.

Cell: 4.268 5.747 11.687 Å, 90.00 90.00 90.00°
Space group Immm (No. 71)
One atom of each set of equivalent atoms:
Ac1 0.000 0.000 0.167
Bi1 0.000 0.000 0.500
O1 0.000 0.240 0.351
O2 0.000 0.308 0.000

Computed properties:
Crystal system: orthorhombic



Which is the most stable structure? A is the most stable.



A.
A relaxed Ac4Bi3O2 crystal, computed with PBE.

Cell: 15.039 4.538 10.122 Å, 90.00 122.96 90.00°
Space group C2/m (No. 12)
One atom of each set of equivalent atoms:
Ac1 0.120 0.000 0.405
Ac2 0.191 0.500 0.129
Bi1 0.000 0.000 0.000
Bi2 0.104 0.500 0.691
O1 0.194 0.500 0.371

Computed properties:
Crystal system: monoclinic



B.
A relaxed Ac4Bi3O2 crystal, computed with PBE.

Cell: 15.225 10.834 7.084 Å, 90.00 96.34 90.00°
Space group C2/c (No. 15)
One atom of each set of equivalent atoms:
Ac1 0.122 0.201 0.012
Ac2 0.190 0.426 0.586
Bi1 0.000 0.476 0.250
Bi2 0.107 0.132 0.522
O1 0.220 0.372 0.922

Computed properties:
Crystal system: monoclinic



Which is the most stable structure? A is the most stable.



A.
A relaxed Ac2Bi2O7 crystal, computed with PBE.

Cell: 7.647 8.404 5.669 Å, 90.00 90.00 90.00°
Space group Cmmm (No. 65)
One atom of each set of equivalent atoms:
Ac1 0.247 0.000 0.000
Bi1 0.000 0.271 0.500
O1 0.000 0.000 0.500
O2 0.000 0.500 0.260
O3 0.250 0.250 0.254

Computed properties:
Crystal system: orthorhombic



B.
A relaxed Ac2Bi2O7 crystal, computed with PBE.

Cell: 11.464 11.464 11.464 Å, 90.00 90.00 90.00°
Space group Fd-3m (No. 227, origin choice 2)
One atom of each set of equivalent atoms:
Ac1 0.000 0.000 0.000
Bi1 0.000 0.000 0.500
O1 0.088 0.375 0.875
O2 0.125 0.125 0.125

Computed properties:
Crystal system: cubic



Which is the most stable structure? B is the most stable.



A.
A relaxed AcBiO crystal, computed with PBE.

Cell: 4.0510 4.0510 6.3695 Å, 90.00 90.00 120.00°
Space group P3m1 (No. 156)
One atom of each set of equivalent atoms:
Ac1 0.0000 0.0000 0.0000
Bi1 0.3333 0.6667 0.5003
O1 0.6667 0.3333 0.0008

Computed properties:
Crystal system: trigonal



B.
A relaxed AcBiO crystal, computed with PBE.

Cell: 4.406 4.406 8.419 Å, 90.00 90.00 90.00°
Space group P4/nmm (No. 129, origin choice 2)
One atom of each set of equivalent atoms:
Ac1 0.250 0.250 0.142
Bi1 0.250 0.250 0.558
O1 0.250 0.750 0.000

Computed properties:
Crystal system: tetragonal



Which is the most stable structure? B is the most stable.



A.
A relaxed Ac2BiP crystal, computed with PBE.

Cell: 3.852 3.852 8.353 Å, 90.00 90.00 90.00°
Space group P4/mmm (No. 123)
One atom of each set of equivalent atoms:
Ac1 0.000 0.000 0.215
Bi1 0.500 0.500 0.500
P1 0.500 0.500 0.000

Computed properties:
Crystal system: tetragonal



B.
A relaxed Ac2BiP crystal, computed with PBE.

Cell: 4.6224 4.6224 23.1500 Å, 90.00 90.00 120.00°
Space group P-3m1 (No. 164)
One atom of each set of equivalent atoms:
Ac1 0.0000 0.0000 0.2251
Ac2 0.3333 0.6667 0.4082
Ac3 0.3333 0.6667 0.9249
Bi1 0.0000 0.0000 0.5000
Bi2 0.3333 0.6667 0.6816
P1 0.0000 0.0000 0.0000
P2 0.3333 0.6667 0.1524

Computed properties:
Crystal system: trigonal



Which is the most stable structure? B is the most stable.



A.
A relaxed Ac2BiP crystal, computed with PBE.

Cell: 7.999 7.999 7.999 Å, 90.00 90.00 90.00°
Space group Fm-3m (No. 225)
One atom of each set of equivalent atoms:
Ac1 0.250 0.250 0.250
Bi1 0.000 0.000 0.000
P1 0.000 0.000 0.500

Computed properties:
Crystal system: cubic



B.
A relaxed Ac2BiP crystal, computed with PBE.

Cell: 4.6299 4.6299 23.0807 Å, 90.00 90.00 120.00°
Space group R-3m (No. 166, hexagonal axes)
One atom of each set of equivalent atoms:
Ac1 0.0000 0.0000 0.2417
Bi1 0.0000 0.0000 0.0000
P1 0.0000 0.0000 0.5000

Computed properties:
Crystal system: trigonal



C.
A relaxed Ac2BiP crystal, computed with PBE.

Cell: 4.5736 4.5736 23.8485 Å, 90.00 90.00 120.00°
Space group R3m (No. 160, hexagonal axes)
One atom of each set of equivalent atoms:
Ac1 0.0000 0.0000 0.0000
Ac2 0.0000 0.0000 0.1856
Bi1 0.0000 0.0000 0.4259
P1 0.0000 0.0000 0.5945

Computed properties:
Crystal system: trigonal



Which is the most stable structure? B is the most stable.



A.
A relaxed AcBiP2 crystal, computed with PBE.

Cell: 5.035 5.035 3.910 Å, 90.00 90.00 90.00°
Space group P4/mmm (No. 123)
One atom of each set of equivalent atoms:
Ac1 0.000 0.000 0.000
Bi1 0.500 0.500 0.000
P1 0.000 0.500 0.500

Computed properties:
Crystal system: tetragonal



B.
A relaxed AcBiP2 crystal, computed with PBE.

Cell: 4.3211 4.3211 20.8848 Å, 90.00 90.00 120.00°
Space group R-3m (No. 166, hexagonal axes)
One atom of each set of equivalent atoms:
Ac1 0.0000 0.0000 0.0000
Bi1 0.0000 0.0000 0.5000
P1 0.0000 0.0000 0.2468

Computed properties:
Crystal system: trigonal



Which is the most stable structure? B is the most stable.